[1]
# CuMoN2O

An optimized crystal structure of CuMoN2O (PBE with a Hubbard U, Alexandria via LeMat-Bulk).

Unit cell a=3.971 b=3.971 c=3.875 alpha=90.00 beta=90.00 gamma=90.00
Fractional coordinates of all 5 atoms:
Cu 0.000 0.000 0.000
Mo 0.500 0.500 0.500
N 0.000 0.500 0.500
N 0.500 0.000 0.500
O 0.500 0.500 0.000

[2]
# CuMoN2O

An optimized crystal structure of CuMoN2O (PBE with a Hubbard U, Alexandria via LeMat-Bulk).

Unit cell a=3.749 b=3.749 c=3.790 alpha=90.00 beta=90.00 gamma=90.00
Fractional coordinates of all 5 atoms:
Cu 0.000 0.000 0.000
Mo 0.500 0.500 0.500
N 0.000 0.500 0.000
N 0.500 0.000 0.000
O 0.000 0.000 0.500

no.,total magnetic moment (μB per formula unit),uncorrected energy (eV/atom),D(E_F) (states/eV/cell)
1,0.372,-6.036,4.02
2,1.389,-5.489,2.41